Compound: SrSb12Ru4
Source: Alexandria via LeMat-Bulk
Functional: meta-GGA SCAN
Structure: single point on PBEsol structure

```
data_SrSb12Ru4
_cell_length_a 8.040
_cell_length_b 8.040
_cell_length_c 8.040
_cell_angle_alpha 109.47
_cell_angle_beta 109.47
_cell_angle_gamma 109.47
_symmetry_space_group_name_H-M 'P 1'
_symmetry_Int_Tables_number 1
_symmetry_space_group_name_Hall 'P 1'
loop_
_atom_site_label
_atom_site_type_symbol
_atom_site_fract_x
_atom_site_fract_y
_atom_site_fract_z
Ru1 Ru 0.000 0.500 0.000
Ru2 Ru 0.000 0.000 0.500
Sb1 Sb 0.658 0.160 0.817
Sb2 Sb 0.342 0.160 0.502
Sb3 Sb 0.658 0.840 0.498
Sb4 Sb 0.840 0.498 0.658
Sb5 Sb 0.502 0.342 0.160
Ru3 Ru 0.500 0.000 0.000
Ru4 Ru 0.500 0.500 0.500
Sb6 Sb 0.840 0.183 0.342
Sb7 Sb 0.160 0.502 0.342
Sb8 Sb 0.183 0.342 0.840
Sb9 Sb 0.342 0.840 0.183
Sb10 Sb 0.160 0.817 0.658
Sb11 Sb 0.498 0.658 0.840
Sr1 Sr 0.000 0.000 0.000
Sb12 Sb 0.817 0.658 0.160
```

## Properties
Calculated volume: 400.1 Å³/f.u.
N(E_F): 11.57 states/eV per cell
SG: Im-3 (204)
Uncorrected formation energy: -0.39 eV/atom